No. 1
A relaxed Sc2Fe2Pt crystal. Source: Alexandria, functional PBE.

Cell and atoms, written as POSCAR:
```
Sc2Fe2Pt
1.0
6.469 0.000 0.000
0.000 6.469 0.000
0.000 0.000 3.848
Sc Fe Pt
4 4 2
Cartesian
1.175 4.409 1.924
4.409 5.294 1.924
5.294 2.060 1.924
2.060 1.175 1.924
2.475 5.709 0.000
5.709 3.994 0.000
3.994 0.760 0.000
0.760 2.475 0.000
0.000 0.000 0.000
3.235 3.235 0.000
```

Summary:
- total moment (μB/f.u.) = 2.27
- DOS(E_F) (states/eV per atom) = 0.78
- E (eV per atom) = -7.544
- energy relative to the elements (eV/atom) = -0.418


No. 2
A relaxed ScFePt2 crystal. Source: Alexandria, functional PBE.

Cell and atoms, written as POSCAR:
```
ScFePt2
1.0
4.935 -0.007 -0.025
4.051 2.819 -0.025
0.895 0.280 4.590
Fe Pt Sc
1 2 1
Cartesian
7.362 2.304 3.595
0.890 0.279 4.420
2.508 0.785 1.237
4.956 1.551 2.148
```

Summary:
- total moment (μB/f.u.) = 3.08
- DOS(E_F) (states/eV per atom) = 1.04
- E (eV per atom) = -7.307
- energy relative to the elements (eV/atom) = -0.588